#i
First-principles (PBE) data for an optimized crystal structure of CaAc2Co, as listed in Alexandria via LeMat-Bulk.

a = 3.726 Å, b = 3.726 Å, c = 9.982 Å
α = 90.00°, β = 90.00°, γ = 90.00°
Each line ends with the local moment (μB).
Atoms (fractional coordinates):
1 Co 0.500 0.500 0.000  0.85
2 Ac 0.000 0.000 0.174  -0.05
3 Ac 0.000 0.000 0.826  -0.05
4 Ca 0.500 0.500 0.500  0.01

Summary:
Size of the total moment = 0.17 μB per atom
Symmetry = P4/mmm (123)


#ii
First-principles (PBE) data for an optimized crystal structure of CaAc2Co, as listed in Alexandria via LeMat-Bulk.

a = 4.091 Å, b = 4.091 Å, c = 11.322 Å
α = 79.59°, β = 79.59°, γ = 60.00°
Atoms (fractional coordinates):
1 Ca 0.000 0.000 0.000
2 Co 0.500 0.500 0.500
3 Ac 0.119 0.119 0.644
4 Ac 0.881 0.881 0.356

Summary:
Size of the total moment = 0.00 μB per atom
Symmetry = R-3m (166)


Stability check: which of them is most stable? #ii.


#i
First-principles (PBE) data for an optimized crystal structure of CaAcCo, as listed in Alexandria via LeMat-Bulk.

a = 4.082 Å, b = 4.169 Å, c = 11.644 Å
α = 100.31°, β = 90.00°, γ = 90.00°
Each line ends with the local moment (μB).
Atoms (fractional coordinates):
1 Ac 0.250 0.074 0.148  -0.08
2 Ac 0.750 0.926 0.852  -0.08
3 Ca 0.250 0.305 0.609  -0.01
4 Ca 0.750 0.695 0.391  -0.01
5 Co 0.250 0.477 0.955  1.00
6 Co 0.750 0.523 0.045  1.00

Summary:
Size of the total moment = 0.25 μB per atom
Symmetry = Cmcm (63)


#ii
First-principles (PBE) data for an optimized crystal structure of CaAcCo, as listed in Alexandria via LeMat-Bulk.

a = 3.601 Å, b = 3.601 Å, c = 7.235 Å
α = 104.41°, β = 104.41°, γ = 90.00°
Each line ends with the local moment (μB).
Atoms (fractional coordinates):
1 Co 0.671 0.671 0.342  0.69
2 Ca 0.039 0.039 0.079  -0.04
3 Ac 0.289 0.289 0.579  -0.10

Summary:
Size of the total moment = 0.10 μB per atom
Symmetry = I4mm (107)


Stability check: which of them is most stable? #i.